Entry from the Alexandria database: Au2BrCl after structural relaxation (GGA-PBE).

For the density of states at the Fermi level, the calculation gives 1.183 states/eV/cell. For the formation energy from raw total energies, the calculation gives 0.1758 eV per atom. The crystal system is monoclinic. As for the offset from the most stable computed form: 1.11 eV per formula unit.

Geometry as CIF:
```
data_Au2BrCl
_space_group_name_H-M_alt 'P 1'
_space_group_IT_number 1
_space_group_name_Hall 'P 1'
_cell_length_a 5.383
_cell_length_b 5.174
_cell_length_c 4.999
_cell_angle_alpha 63.61
_cell_angle_beta 85.74
_cell_angle_gamma 118.97
loop_
_atom_site_label
_atom_site_type_symbol
_atom_site_fract_x
_atom_site_fract_y
_atom_site_fract_z
Au1 Au 0.000 0.000 0.000
Au2 Au 0.500 0.000 0.500
Br1 Br 0.000 0.500 0.500
Cl1 Cl 0.500 0.500 0.000
```